Entry 1:
Crystalline NdCo9Si4 at its relaxed geometry. Source: Alexandria via LeMat-Bulk, functional PBEsol.

The structure in POSCAR format:
```
NdCo9Si4
1.0
-3.8230 3.8230 5.6358
3.8230 -3.8230 5.6358
3.8230 3.8230 -5.6358
Nd Co Si
2 18 8
Cartesian
0.0000 0.0000 2.8179
0.0000 0.0000 8.4537
3.8230 0.0000 0.0000
2.8442 -0.9788 2.0253
6.1116 0.5402 0.0000
4.8018 -0.9788 3.6105
0.5402 1.5344 0.0000
4.3632 2.2886 0.0000
4.8018 0.9788 2.0253
2.2886 3.2828 0.0000
2.8442 0.9788 3.6105
0.0000 3.8230 0.0000
0.9788 2.8442 2.0253
1.5344 0.5402 5.6358
-0.9788 2.8442 3.6105
-0.5402 1.5344 5.6358
3.2828 2.2886 5.6358
-0.9788 4.8018 2.0253
-2.2886 3.2828 5.6358
0.9788 4.8018 3.6105
2.5217 1.3013 -1.3629
2.5217 -1.3013 4.2729
2.5217 1.3013 1.3629
2.5217 -1.3013 6.9987
1.3013 5.1243 -1.3629
1.3013 2.5217 4.2729
1.3013 5.1243 1.3629
1.3013 2.5217 6.9987
```

**Formation energy from raw total energies**: -550 meV per atom
**Space-group type**: I4/mcm (140)

---

Entry 2:
Crystalline NdCoSi3 at its relaxed geometry. Source: Alexandria via LeMat-Bulk, functional PBEsol.

The structure in POSCAR format:
```
NdCoSi3
1.0
-2.0439 2.0439 4.7610
2.0439 -2.0439 4.7610
2.0439 2.0439 -4.7610
Nd Co Si
1 1 3
Cartesian
0.0000 0.0000 0.0000
0.0000 0.0000 3.2684
2.0439 0.0000 2.3251
0.0000 0.0000 5.4959
0.0000 2.0439 2.3251
```

**Formation energy from raw total energies**: -754 meV per atom
**Space-group type**: I4mm (107)

---

Entry 3:
Crystalline Nd3Co8Sn4 at its relaxed geometry. Source: Alexandria via LeMat-Bulk, functional PBEsol.

The structure in POSCAR format:
```
Nd3Co8Sn4
1.0
8.8588 0.0000 0.0000
-4.4294 7.6720 0.0000
0.0000 0.0000 7.4488
Nd Co Sn
6 16 8
Cartesian
-1.8237 4.0617 0.0000
1.8237 4.0617 0.0000
0.0000 7.2205 0.0000
4.4294 0.4515 3.7244
2.6057 3.6102 3.7244
6.2531 3.6102 3.7244
0.0000 0.0000 2.0553
0.0000 0.0000 5.7797
0.0000 1.4559 0.1577
-3.1686 6.9441 0.1577
0.0000 2.3977 2.4697
-2.3530 6.4731 2.4697
1.2608 0.7279 3.8821
2.0765 1.1988 6.1941
0.0000 5.1147 5.2374
4.4294 2.5573 1.5130
2.3530 6.4731 2.4697
3.1686 6.9441 0.1577
6.7824 1.1988 6.1941
4.4294 5.2743 6.1941
7.5980 0.7279 3.8821
4.4294 6.2161 3.8821
0.0000 2.5989 5.2289
-2.1787 6.3725 5.2289
0.0000 5.1147 2.5136
2.2508 1.2995 1.5045
2.1787 6.3725 5.2289
4.4294 2.5573 6.2380
6.6081 1.2995 1.5045
4.4294 5.0730 1.5045
```

**Space-group type**: P6_3mc (186)
**Energy**: -0.48566 Ry/atom